[1]
Density functional theory data (PBE) for an optimized crystal structure of SrZrAl2.

Values from the calculation:
Energy of formation ... 0.011 eV/atom
Space-group type ... Fm-3m, No. 225
M_tot ... 0.00 Bohr magnetons per cell
DOS(E_F) ... 2.189 states/eV per cell
Energy above the lowest structure with this stoichiometry ... 0.91 eV/f.u.

Geometry as CIF:
```
data_SrZrAl2
_chemical_formula_sum 'Sr1 Zr1 Al2'
_cell_length_a 5.098
_cell_length_b 5.098
_cell_length_c 5.098
_cell_angle_alpha 60.00
_cell_angle_beta 60.00
_cell_angle_gamma 60.00
_symmetry_space_group_name_H-M 'P 1'
_symmetry_Int_Tables_number 1
loop_
_symmetry_equiv_pos_as_xyz
'x,y,z'
loop_
_atom_site_label
_atom_site_type_symbol
_atom_site_fract_x
_atom_site_fract_y
_atom_site_fract_z
Sr1 Sr 0.000 0.000 0.000
Zr1 Zr 0.500 0.500 0.500
Al1 Al 0.250 0.250 0.250
Al2 Al 0.750 0.750 0.750
```

[2]
Density functional theory data (PBE) for an optimized crystal structure of SbTe2SI.

Values from the calculation:
Space-group type ... P4/mmm, No. 123
M_tot ... 0.00 Bohr magnetons per cell
DOS(E_F) ... 4.707 states/eV per cell
E_form (uncorrected) ... 495 meV per atom
Energy above the lowest structure with this stoichiometry ... 0.00 eV/f.u.

Geometry as CIF:
```
data_SbTe2SI
_chemical_formula_sum 'Sb1 Te2 S1 I1'
_cell_length_a 5.288
_cell_length_b 5.288
_cell_length_c 5.528
_cell_angle_alpha 90.00
_cell_angle_beta 90.00
_cell_angle_gamma 90.00
_symmetry_space_group_name_H-M 'P 1'
_symmetry_Int_Tables_number 1
loop_
_symmetry_equiv_pos_as_xyz
'x,y,z'
loop_
_atom_site_label
_atom_site_type_symbol
_atom_site_fract_x
_atom_site_fract_y
_atom_site_fract_z
Sb1 Sb 0.000 0.000 0.000
Te1 Te 0.000 0.500 0.500
Te2 Te 0.500 0.000 0.500
S1 S 0.000 0.000 0.500
I1 I 0.500 0.500 0.000
```

[3]
Density functional theory data (PBE) for an optimized crystal structure of CaNiRh.

Values from the calculation:
Energy of formation ... -0.117 eV/atom
Space-group type ... Ima2, No. 46
M_tot ... 1.77 Bohr magnetons per cell
DOS(E_F) ... 8.533 states/eV per cell

Geometry as CIF:
```
data_CaNiRh
_chemical_formula_sum 'Ca2 Ni2 Rh2'
_cell_length_a 5.467
_cell_length_b 5.467
_cell_length_c 5.467
_cell_angle_alpha 132.81
_cell_angle_beta 98.64
_cell_angle_gamma 99.80
_symmetry_space_group_name_H-M 'P 1'
_symmetry_Int_Tables_number 1
loop_
_symmetry_equiv_pos_as_xyz
'x,y,z'
loop_
_atom_site_label
_atom_site_type_symbol
_atom_site_fract_x
_atom_site_fract_y
_atom_site_fract_z
Ca1 Ca 0.190 0.250 0.440
Ca2 Ca 0.810 0.750 0.560
Ni1 Ni 0.240 0.575 0.165
Ni2 Ni 0.410 0.075 0.835
Rh1 Rh 0.589 0.933 0.155
Rh2 Rh 0.778 0.433 0.845
```

[4]
Density functional theory data (PBE) for an optimized crystal structure of Ti3NiAg3S8.

Values from the calculation:
Space-group type ... C2/m, No. 12
M_tot ... 2.55 Bohr magnetons per cell
DOS(E_F) ... 6.927 states/eV per cell
E_form (uncorrected) ... -702 meV per atom

Geometry as CIF:
```
data_Ti3NiAg3S8
_chemical_formula_sum 'Ti3 Ni1 Ag3 S8'
_cell_length_a 6.928
_cell_length_b 6.928
_cell_length_c 7.850
_cell_angle_alpha 116.39
_cell_angle_beta 116.39
_cell_angle_gamma 60.05
_symmetry_space_group_name_H-M 'P 1'
_symmetry_Int_Tables_number 1
loop_
_symmetry_equiv_pos_as_xyz
'x,y,z'
loop_
_atom_site_label
_atom_site_type_symbol
_atom_site_fract_x
_atom_site_fract_y
_atom_site_fract_z
Ti1 Ti 0.000 0.000 0.000
Ti2 Ti 0.000 0.500 0.000
Ti3 Ti 0.500 0.000 0.000
Ni1 Ni 0.500 0.500 0.000
Ag1 Ag 0.000 0.500 0.500
Ag2 Ag 0.500 0.000 0.500
Ag3 Ag 0.500 0.500 0.500
S1 S 0.237 0.237 0.209
S2 S 0.247 0.731 0.207
S3 S 0.269 0.269 0.793
S4 S 0.269 0.753 0.793
S5 S 0.731 0.247 0.207
S6 S 0.731 0.731 0.207
S7 S 0.753 0.269 0.793
S8 S 0.763 0.763 0.791
```

[5]
Density functional theory data (PBE) for an optimized crystal structure of PaPbCl6.

Values from the calculation:
Space-group type ... C2/m, No. 12
M_tot ... 1.01 Bohr magnetons per cell
DOS(E_F) ... 0.818 states/eV per cell
E_form (uncorrected) ... -1611 meV per atom

Geometry as CIF:
```
data_PaPbCl6
_chemical_formula_sum 'Pa1 Pb1 Cl6'
_cell_length_a 7.028
_cell_length_b 7.028
_cell_length_c 6.985
_cell_angle_alpha 97.62
_cell_angle_beta 97.62
_cell_angle_gamma 120.07
_symmetry_space_group_name_H-M 'P 1'
_symmetry_Int_Tables_number 1
loop_
_symmetry_equiv_pos_as_xyz
'x,y,z'
loop_
_atom_site_label
_atom_site_type_symbol
_atom_site_fract_x
_atom_site_fract_y
_atom_site_fract_z
Pa1 Pa 0.000 0.000 0.000
Pb1 Pb 0.500 0.500 0.500
Cl1 Cl 0.076 0.374 0.235
Cl2 Cl 0.246 0.246 0.771
Cl3 Cl 0.374 0.076 0.235
Cl4 Cl 0.626 0.924 0.765
Cl5 Cl 0.754 0.754 0.229
Cl6 Cl 0.924 0.626 0.765
```

[6]
Density functional theory data (PBE) for an optimized crystal structure of Cr4MoPd.

Values from the calculation:
Energy of formation ... 0.097 eV/atom
Space-group type ... F-43m, No. 216
M_tot ... 0.00 Bohr magnetons per cell
DOS(E_F) ... 8.875 states/eV per cell

Geometry as CIF:
```
data_Cr4MoPd
_chemical_formula_sum 'Cr4 Mo1 Pd1'
_cell_length_a 4.793
_cell_length_b 4.793
_cell_length_c 4.793
_cell_angle_alpha 60.00
_cell_angle_beta 60.00
_cell_angle_gamma 60.00
_symmetry_space_group_name_H-M 'P 1'
_symmetry_Int_Tables_number 1
loop_
_symmetry_equiv_pos_as_xyz
'x,y,z'
loop_
_atom_site_label
_atom_site_type_symbol
_atom_site_fract_x
_atom_site_fract_y
_atom_site_fract_z
Cr1 Cr 0.376 0.376 0.376
Cr2 Cr 0.376 0.376 0.872
Cr3 Cr 0.376 0.872 0.376
Cr4 Cr 0.872 0.376 0.376
Mo1 Mo 0.750 0.750 0.750
Pd1 Pd 0.000 0.000 0.000
```

[7]
Density functional theory data (PBE) for an optimized crystal structure of Pm2SmNi9.

Values from the calculation:
Energy of formation ... -0.339 eV/atom
Space-group type ... R-3m, No. 166
M_tot ... 0.86 Bohr magnetons per cell
DOS(E_F) ... 14.865 states/eV per cell

Geometry as CIF:
```
data_Pm2SmNi9
_chemical_formula_sum 'Pm2 Sm1 Ni9'
_cell_length_a 8.727
_cell_length_b 8.727
_cell_length_c 8.727
_cell_angle_alpha 33.40
_cell_angle_beta 33.40
_cell_angle_gamma 33.40
_symmetry_space_group_name_H-M 'P 1'
_symmetry_Int_Tables_number 1
loop_
_symmetry_equiv_pos_as_xyz
'x,y,z'
loop_
_atom_site_label
_atom_site_type_symbol
_atom_site_fract_x
_atom_site_fract_y
_atom_site_fract_z
Pm1 Pm 0.139 0.139 0.139
Pm2 Pm 0.861 0.861 0.861
Sm1 Sm 0.000 0.000 0.000
Ni1 Ni 0.081 0.581 0.581
Ni2 Ni 0.333 0.333 0.333
Ni3 Ni 0.419 0.419 0.919
Ni4 Ni 0.419 0.919 0.419
Ni5 Ni 0.500 0.500 0.500
Ni6 Ni 0.581 0.081 0.581
Ni7 Ni 0.581 0.581 0.081
Ni8 Ni 0.667 0.667 0.667
Ni9 Ni 0.919 0.419 0.419
```

[8]
Density functional theory data (PBE) for an optimized crystal structure of RbCa2CeI8.

Values from the calculation:
Space-group type ... P-1, No. 2
M_tot ... 1.00 Bohr magnetons per cell
DOS(E_F) ... 8.087 states/eV per cell
E_form (uncorrected) ... -1455 meV per atom

Geometry as CIF:
```
data_RbCa2CeI8
_chemical_formula_sum 'Rb1 Ca2 Ce1 I8'
_cell_length_a 7.402
_cell_length_b 7.815
_cell_length_c 9.758
_cell_angle_alpha 89.98
_cell_angle_beta 89.96
_cell_angle_gamma 89.63
_symmetry_space_group_name_H-M 'P 1'
_symmetry_Int_Tables_number 1
loop_
_symmetry_equiv_pos_as_xyz
'x,y,z'
loop_
_atom_site_label
_atom_site_type_symbol
_atom_site_fract_x
_atom_site_fract_y
_atom_site_fract_z
Rb1 Rb 0.000 0.000 0.000
Ca1 Ca 0.500 0.500 0.247
Ca2 Ca 0.500 0.500 0.753
Ce1 Ce 0.000 0.000 0.500
I1 I 0.254 0.832 0.719
I2 I 0.255 0.833 0.281
I3 I 0.260 0.336 0.500
I4 I 0.270 0.372 0.000
I5 I 0.730 0.628 0.000
I6 I 0.740 0.664 0.500
I7 I 0.745 0.167 0.719
I8 I 0.746 0.168 0.281
```

[9]
Density functional theory data (PBE) for an optimized crystal structure of InGaCoNi2.

Values from the calculation:
Energy of formation ... 1.220 eV/atom
Space-group type ... P4/mmm, No. 123
M_tot ... 1.54 Bohr magnetons per cell
DOS(E_F) ... 4.692 states/eV per cell
Energy above the lowest structure with this stoichiometry ... 0.00 eV/f.u.

Geometry as CIF:
```
data_InGaCoNi2
_chemical_formula_sum 'In1 Ga1 Co1 Ni2'
_cell_length_a 4.651
_cell_length_b 4.651
_cell_length_c 4.713
_cell_angle_alpha 90.00
_cell_angle_beta 90.00
_cell_angle_gamma 90.00
_symmetry_space_group_name_H-M 'P 1'
_symmetry_Int_Tables_number 1
loop_
_symmetry_equiv_pos_as_xyz
'x,y,z'
loop_
_atom_site_label
_atom_site_type_symbol
_atom_site_fract_x
_atom_site_fract_y
_atom_site_fract_z
In1 In 0.000 0.000 0.000
Ga1 Ga 0.500 0.500 0.500
Co1 Co 0.000 0.000 0.500
Ni1 Ni 0.000 0.500 0.000
Ni2 Ni 0.500 0.000 0.000
```

[10]
Density functional theory data (PBE) for an optimized crystal structure of Na12Hg5Pb2.

Values from the calculation:
Energy of formation ... -0.166 eV/atom
Space-group type ... C2/m, No. 12
M_tot ... 0.00 Bohr magnetons per cell
DOS(E_F) ... 5.839 states/eV per cell

Geometry as CIF:
```
data_Na12Hg5Pb2
_chemical_formula_sum 'Na12 Hg5 Pb2'
_cell_length_a 8.356
_cell_length_b 8.356
_cell_length_c 8.474
_cell_angle_alpha 99.39
_cell_angle_beta 99.39
_cell_angle_gamma 80.66
_symmetry_space_group_name_H-M 'P 1'
_symmetry_Int_Tables_number 1
loop_
_symmetry_equiv_pos_as_xyz
'x,y,z'
loop_
_atom_site_label
_atom_site_type_symbol
_atom_site_fract_x
_atom_site_fract_y
_atom_site_fract_z
Na1 Na 0.008 0.349 0.809
Na2 Na 0.100 0.100 0.160
Na3 Na 0.156 0.627 0.608
Na4 Na 0.349 0.008 0.809
Na5 Na 0.373 0.844 0.392
Na6 Na 0.394 0.394 0.242
Na7 Na 0.606 0.606 0.758
Na8 Na 0.627 0.156 0.608
Na9 Na 0.651 0.992 0.191
Na10 Na 0.844 0.373 0.392
Na11 Na 0.900 0.900 0.840
Na12 Na 0.992 0.651 0.191
Hg1 Hg 0.000 0.000 0.500
Hg2 Hg 0.243 0.243 0.506
Hg3 Hg 0.377 0.377 0.850
Hg4 Hg 0.623 0.623 0.150
Hg5 Hg 0.757 0.757 0.494
Pb1 Pb 0.268 0.732 0.000
Pb2 Pb 0.732 0.268 0.000
```

[11]
Density functional theory data (PBE) for an optimized crystal structure of CrFe2AgS.

Values from the calculation:
Space-group type ... P4/mmm, No. 123
M_tot ... 10.92 Bohr magnetons per cell
DOS(E_F) ... 5.889 states/eV per cell
E_form (uncorrected) ... 1536 meV per atom

Geometry as CIF:
```
data_CrFe2AgS
_chemical_formula_sum 'Cr1 Fe2 Ag1 S1'
_cell_length_a 4.712
_cell_length_b 4.712
_cell_length_c 4.958
_cell_angle_alpha 90.00
_cell_angle_beta 90.00
_cell_angle_gamma 90.00
_symmetry_space_group_name_H-M 'P 1'
_symmetry_Int_Tables_number 1
loop_
_symmetry_equiv_pos_as_xyz
'x,y,z'
loop_
_atom_site_label
_atom_site_type_symbol
_atom_site_fract_x
_atom_site_fract_y
_atom_site_fract_z
Cr1 Cr 0.000 0.000 0.000
Fe1 Fe 0.000 0.500 0.500
Fe2 Fe 0.500 0.000 0.500
Ag1 Ag 0.000 0.000 0.500
S1 S 0.500 0.500 0.000
```

[12]
Density functional theory data (PBE) for an optimized crystal structure of NiTe2CI.

Values from the calculation:
Space-group type ... P4/mmm, No. 123
M_tot ... 1.00 Bohr magnetons per cell
DOS(E_F) ... 6.458 states/eV per cell
E_form (uncorrected) ... 1611 meV per atom
Energy above the lowest structure with this stoichiometry ... 0.96 eV/f.u.

Geometry as CIF:
```
data_NiTe2CI
_chemical_formula_sum 'Ni1 Te2 C1 I1'
_cell_length_a 5.032
_cell_length_b 5.032
_cell_length_c 5.212
_cell_angle_alpha 90.00
_cell_angle_beta 90.00
_cell_angle_gamma 90.00
_symmetry_space_group_name_H-M 'P 1'
_symmetry_Int_Tables_number 1
loop_
_symmetry_equiv_pos_as_xyz
'x,y,z'
loop_
_atom_site_label
_atom_site_type_symbol
_atom_site_fract_x
_atom_site_fract_y
_atom_site_fract_z
Ni1 Ni 0.000 0.000 0.000
Te1 Te 0.000 0.500 0.000
Te2 Te 0.500 0.000 0.000
C1 C 0.500 0.500 0.500
I1 I 0.000 0.000 0.500
```